# 1
# Y4CdCo

Crystalline Y4CdCo at its relaxed geometry (PBE, Alexandria).

Geometry as extended XYZ:
```
12
Lattice="4.400 -6.254 0.000 4.400 6.254 0.000 -1.703 0.000 5.844" Properties=species:S:1:pos:R:3 pbc="T T T"
Y 1.854 4.206 5.598
Y 1.485 1.054 3.534
Y 4.391 4.206 3.168
Y 2.337 -1.054 0.612
Y 4.760 1.054 5.231
Y 2.705 -4.206 2.676
Y 5.612 -1.054 2.310
Y 5.243 -4.206 0.246
Cd 3.974 1.577 1.461
Cd 3.122 -1.577 4.383
Co 3.122 6.241 4.383
Co 3.974 -6.241 1.461
```

## Properties
Formation energy: -0.1853 eV per atom
E_tot: -5.832 eV/atom
ΔE to the lowest computed polymorph: 61 meV/atom

# 2
# YCd2Co

Crystalline YCd2Co at its relaxed geometry (PBE, Alexandria).

Geometry as extended XYZ:
```
8
Lattice="-2.014 2.014 10.707 2.014 -2.014 10.707 2.014 2.014 -10.707" Properties=species:S:1:pos:R:3 pbc="T T T"
Y 0.000 0.000 0.000
Y 0.000 2.014 5.354
Cd 1.007 -0.925 8.030
Cd 1.089 1.007 2.677
Cd 1.007 2.939 -2.677
Cd 0.925 1.007 13.384
Co 2.014 0.000 5.354
Co 0.000 0.000 10.707
```

## Properties
Formation energy: 0.2168 eV per atom
E_tot: -3.633 eV/atom

# 3
# Y4CdCo

Crystalline Y4CdCo at its relaxed geometry (PBE, Alexandria).

Geometry as extended XYZ:
```
6
Lattice="0.000 4.376 4.376 4.376 0.000 4.376 4.376 4.376 0.000" Properties=species:S:1:pos:R:3 pbc="T T T"
Y 1.097 1.097 1.097
Y 3.279 3.279 1.097
Y 3.279 1.097 3.279
Y 1.097 3.279 3.279
Cd 6.564 6.564 6.564
Co 4.376 4.376 4.376
```

## Properties
Formation energy: 0.6838 eV per atom
E_tot: -4.962 eV/atom
ΔE to the lowest computed polymorph: 930 meV/atom

# 4
# YCd2Co

Crystalline YCd2Co at its relaxed geometry (PBE, Alexandria).

Geometry as extended XYZ:
```
4
Lattice="3.418 0.000 0.000 0.000 3.418 0.000 0.000 0.000 7.022" Properties=species:S:1:pos:R:3 pbc="T T T"
Y 0.000 0.000 0.000
Cd 1.709 1.709 2.097
Cd 1.709 1.709 4.924
Co 0.000 0.000 3.511
```

## Properties
Formation energy: 0.0677 eV per atom
E_tot: -3.782 eV/atom

Among the records above, which one has the highest formation energy?
number 3

What is the formula in the second record?
YCd2Co

Which formula does entry 3 have?
Y4CdCo

Among the records above, which one has the lowest formation energy?
number 1